The following is a GGA-PBE calculation of a relaxed CuSi2 crystal, from Alexandria via LeMat-Bulk.

abc: 4.3284 4.3284 5.2338
angles: 90.00 90.00 120.00
Last column: nearest neighbours and their distance in Å.
Sites, in units of the cell vectors:
Cu 0.3333 0.6667 0.2500  5 Si 2.50-2.62
Cu 0.6667 0.3333 0.7500  5 Si 2.50-2.62
Si 0.0000 0.0000 0.0000  8 Si 2.62-2.82, 6 Cu 2.82
Si 0.0000 0.0000 0.5000  8 Si 2.62-2.82, 6 Cu 2.82
Si 0.3333 0.6667 0.7500  5 Cu 2.50-2.62
Si 0.6667 0.3333 0.2500  5 Cu 2.50-2.62

**DOS(E_F)**: 2.25 states/eV per cell
**Formation energy without anion corrections**: 0.432 eV/atom
**Magnetization**: 0.0 μB/cell
**Total energy**: -4.5486 eV/atom